# 1
Material: MgAl2P
Method: DFT, PBE
State: relaxed

Summary:
The space group is I-42d (122). The total magnetic moment is 0.000 μB per atom. The energy above the lowest structure with this stoichiometry is 0.12 eV/f.u.

Cell lengths 5.940, 5.940, 5.940 Å; angles 101.87, 101.87, 126.05 degrees
Atoms (fractional coordinates):
Mg 0.000 0.000 0.000
Mg 0.750 0.250 0.500
Al 0.180 0.625 0.055
Al 0.375 0.430 0.555
Al 0.570 0.125 0.945
Al 0.875 0.820 0.445
P 0.250 0.750 0.500
P 0.500 0.500 0.000

# 2
Material: Ce4Cl3O4
Method: DFT, PBE
State: relaxed

Summary:
Its energy relative to the elements, uncorrected is -2.666 eV per atom. The space group is Immm (71). The total magnetic moment is 0.362 μB per atom.

Cell lengths 8.006, 8.006, 8.006 Å; angles 153.28, 121.31, 65.61 degrees
Atoms (fractional coordinates):
Ce 0.214 0.214 0.000
Ce 0.266 0.500 0.766
Ce 0.734 0.500 0.234
Ce 0.786 0.786 0.000
Cl 0.000 0.000 0.000
Cl 0.389 0.889 0.500
Cl 0.611 0.111 0.500
O 0.017 0.339 0.679
O 0.340 0.661 0.679
O 0.660 0.339 0.321
O 0.983 0.661 0.321

# 3
Material: Rb2LiBeP2
Method: DFT, PBE
State: relaxed

Summary:
The space group is Ibam (72). The total magnetic moment is 0.000 μB per atom. The value obtained for the total DFT energy (no corrections) is -3.39 eV per atom.

Cell lengths 9.043, 9.043, 9.043 Å; angles 140.41, 56.54, 141.33 degrees
Atoms (fractional coordinates):
Rb 0.163 0.235 0.398
Rb 0.337 0.735 0.072
Rb 0.663 0.265 0.928
Rb 0.837 0.765 0.602
Li 0.250 0.250 0.000
Li 0.750 0.750 0.000
Be 0.250 0.750 0.500
Be 0.750 0.250 0.500
P 0.071 0.710 0.781
P 0.429 0.210 0.638
P 0.571 0.790 0.362
P 0.929 0.290 0.219